## P
# Cs2LiMnF6

Crystalline Cs2LiMnF6 at its relaxed geometry (GGA+U, Alexandria).

Its calculated volume is 17.01 A^3/atom.

The space group is Pmmn (No. 59, origin choice 2) and the conventional cell measures 6.357, 7.896 and 6.779 Å, with angles of 90.00, 90.00 and 90.00 degrees. The inequivalent atoms are Cs at (0.250, 0.012, 0.217), Li at (0.250, 0.750, 0.627), Mn at (0.250, 0.250, 0.712), F at (0.025, 0.250, 0.517), F at (0.043, 0.250, 0.914) and F at (0.250, 0.502, 0.712).


## Q
# Cs2LiMnF6

Crystalline Cs2LiMnF6 at its relaxed geometry (GGA+U, Alexandria).

Its calculated volume is 16.37 A^3/atom.

The space group is I4/mmm (No. 139) and the conventional cell measures 5.871, 5.871 and 9.497 Å, with angles of 90.00, 90.00 and 90.00 degrees. The inequivalent atoms are Cs at (0.000, 0.500, 0.250), Li at (0.000, 0.000, 0.000), Mn at (0.000, 0.000, 0.500), F at (0.000, 0.000, 0.301) and F at (0.239, 0.239, 0.500).


The relative energies come out as P 0.000; Q 0.025, with values in eV/atom.